This record from Alexandria describes a relaxed LiCoN2O crystal. The functional is PBE+U.

Values from the calculation:
- Crystal system: tetragonal
- Total DFT energy (no corrections): -0.1844 Ha/atom

a = 3.522 Å, b = 3.522 Å, c = 4.101 Å
α = 90.00°, β = 90.00°, γ = 90.00°
Positions (direct):
Co 0.000 0.000 0.000
Li 0.500 0.500 0.500
N 0.500 0.000 0.000
N 0.000 0.500 0.000
O 0.000 0.000 0.500